Ca2GeSbPd6 after structural relaxation, computed with PBE.

```
data_Ca2GeSbPd6
_chemical_formula_sum 'Ca2 Ge1 Sb1 Pd6'
_space_group_name_H-M_alt 'P -1'
_space_group_IT_number 2
_space_group_name_Hall '-P 1'
_cell_length_a 5.566
_cell_length_b 6.484
_cell_length_c 6.640
_cell_angle_alpha 74.38
_cell_angle_beta 65.24
_cell_angle_gamma 64.67
loop_
_atom_site_label
_atom_site_type_symbol
_atom_site_fract_x
_atom_site_fract_y
_atom_site_fract_z
Ca1 Ca 0.000 0.249 0.250
Ge1 Ge 0.500 0.000 0.500
Sb1 Sb 0.500 0.500 0.000
Pd1 Pd 0.012 0.188 0.795
Pd2 Pd 0.324 0.422 0.432
Pd3 Pd 0.495 0.814 0.204
```

Calculated values
ρ, g cm⁻³: 7.76
DOS at the Fermi energy, states/eV/cell: 4.7
Raw total energy, eV per cell: -49.9